Entry 1:
{
  "formula": "MgCd",
  "functional": "PBE",
  "state": "optimized geometry",
  "space_group": "Pmm2 (25)",
  "density_g_cm3": 5.34,
  "e_tot_ev_per_atom": -1.285,
  "volume_a3_per_cell": 170,
  "cell": [[5.050, 0.000, 0.000], [0.000, 6.269, 0.000], [0.000, 0.000, 5.369]],
  "species": ["Mg", "Mg", "Mg", "Mg", "Cd", "Cd", "Cd", "Cd"],
  "fractional_positions": [[0.000, 0.000, 0.000], [0.000, 0.252, 0.500], [0.000, 0.748, 0.500], [0.500, 0.000, 0.664], [0.000, 0.500, 0.997], [0.500, 0.243, 0.169], [0.500, 0.500, 0.662], [0.500, 0.757, 0.169]]
}

---

Entry 2:
{
  "formula": "MgCd5",
  "functional": "PBE",
  "state": "optimized geometry",
  "space_group": "P6/mmm (191)",
  "density_g_cm3": 6.96,
  "e_tot_ev_per_atom": -0.909,
  "volume_a3_per_cell": 140,
  "cell": [[5.731, 0.000, 0.000], [-2.865, 4.963, 0.000], [0.000, 0.000, 4.916]],
  "species": ["Mg", "Cd", "Cd", "Cd", "Cd", "Cd"],
  "fractional_positions": [[0.000, 0.000, 0.000], [0.000, 0.500, 0.500], [0.333, 0.667, 0.000], [0.500, 0.000, 0.500], [0.500, 0.500, 0.500], [0.667, 0.333, 0.000]]
}

---

Entry 3:
{
  "formula": "MgCd",
  "functional": "PBE",
  "state": "optimized geometry",
  "space_group": "P-6m2 (187)",
  "density_g_cm3": 5.32,
  "e_tot_ev_per_atom": -1.281,
  "volume_a3_per_cell": 171,
  "cell": [[6.244, 0.000, 0.000], [-3.122, 5.408, 0.000], [0.000, 0.000, 5.055]],
  "species": ["Mg", "Mg", "Mg", "Mg", "Cd", "Cd", "Cd", "Cd"],
  "fractional_positions": [[0.000, 0.000, 0.000], [0.165, 0.331, 0.500], [0.165, 0.835, 0.500], [0.669, 0.835, 0.500], [0.005, 0.502, 0.000], [0.498, 0.502, 0.000], [0.498, 0.995, 0.000], [0.667, 0.333, 0.500]]
}